[1]
VASP calculation (GGA-PBE) on a relaxed structure of CaNd3Zn8.

Lattice parameters (Å, degrees): 5.673 5.673 8.801 90.00 90.00 120.00
Atoms (fractional coordinates):
Ca1 0.000 0.000 0.000
Nd1 0.000 0.000 0.388
Nd2 0.667 0.333 0.490
Nd3 0.667 0.333 0.882
Zn1 0.006 0.503 0.188
Zn2 0.168 0.337 0.691
Zn3 0.168 0.832 0.691
Zn4 0.333 0.667 0.438
Zn5 0.333 0.667 0.937
Zn6 0.497 0.503 0.188
Zn7 0.497 0.994 0.188
Zn8 0.663 0.832 0.691

Summary:
Space group   No. 156
Energy of formation   -290.8 meV/atom
Total magnetic moment   0.00 μB per cell
DOS(E_F)   0.633 states/eV/atom


[2]
VASP calculation (GGA-PBE) on a relaxed structure of CaNd4Zn.

Lattice parameters (Å, degrees): 3.688 3.688 14.449 90.00 90.00 90.00
Atoms (fractional coordinates):
Ca1 0.000 0.000 0.000
Nd1 0.000 0.000 0.372
Nd2 0.000 0.000 0.628
Nd3 0.500 0.500 0.195
Nd4 0.500 0.500 0.805
Zn1 0.500 0.500 0.500

Summary:
Space group   No. 123
Energy of formation   -72.1 meV/atom
Total magnetic moment   0.00 μB per cell
DOS(E_F)   1.238 states/eV/atom


[3]
VASP calculation (GGA-PBE) on a relaxed structure of Ca2Nd2Zn3.

Lattice parameters (Å, degrees): 8.999 8.999 8.999 33.32 33.32 33.32
Atoms (fractional coordinates):
Ca1 0.127 0.127 0.127
Ca2 0.873 0.873 0.873
Nd1 0.378 0.378 0.378
Nd2 0.622 0.622 0.622
Zn1 0.000 0.000 0.000
Zn2 0.255 0.255 0.255
Zn3 0.745 0.745 0.745

Summary:
Space group   No. 166
Energy of formation   -195.0 meV/atom
Total magnetic moment   0.00 μB per cell
DOS(E_F)   0.811 states/eV/atom


[4]
VASP calculation (GGA-PBE) on a relaxed structure of CaNd2Zn6.

Lattice parameters (Å, degrees): 7.916 7.916 3.623 90.00 90.00 120.00
Atoms (fractional coordinates):
Ca1 0.000 0.000 0.000
Nd1 0.333 0.667 0.000
Nd2 0.667 0.333 0.000
Zn1 0.000 0.331 0.500
Zn2 0.000 0.669 0.500
Zn3 0.331 0.000 0.500
Zn4 0.331 0.331 0.500
Zn5 0.669 0.000 0.500
Zn6 0.669 0.669 0.500

Summary:
Space group   No. 191
Energy of formation   -322.7 meV/atom
Total magnetic moment   0.00 μB per cell
DOS(E_F)   0.690 states/eV/atom


[5]
VASP calculation (GGA-PBE) on a relaxed structure of CaNd2Zn3.

Lattice parameters (Å, degrees): 3.679 3.679 11.125 90.00 90.00 90.00
Atoms (fractional coordinates):
Ca1 0.000 0.000 0.000
Nd1 0.000 0.000 0.335
Nd2 0.000 0.000 0.665
Zn1 0.500 0.500 0.172
Zn2 0.500 0.500 0.500
Zn3 0.500 0.500 0.828

Summary:
Space group   No. 123
Relative energy among the computed polymorphs   7 kJ/mol of formula units
Energy of formation   -291.5 meV/atom
Total magnetic moment   0.00 μB per cell
DOS(E_F)   0.727 states/eV/atom


[6]
VASP calculation (GGA-PBE) on a relaxed structure of CaNd2Zn8.

Lattice parameters (Å, degrees): 8.411 8.411 8.411 149.09 131.68 58.47
Atoms (fractional coordinates):
Ca1 0.000 0.000 0.000
Nd1 0.362 0.862 0.500
Nd2 0.638 0.138 0.500
Zn1 0.023 0.336 0.687
Zn2 0.215 0.215 0.000
Zn3 0.317 0.500 0.817
Zn4 0.351 0.664 0.687
Zn5 0.649 0.336 0.313
Zn6 0.683 0.500 0.183
Zn7 0.785 0.785 0.000
Zn8 0.977 0.664 0.313

Summary:
Space group   No. 71
Energy of formation   -302.3 meV/atom
Total magnetic moment   0.00 μB per cell
DOS(E_F)   0.763 states/eV/atom


[7]
VASP calculation (GGA-PBE) on a relaxed structure of CaNd3Zn4.

Lattice parameters (Å, degrees): 10.381 7.407 5.192 90.00 90.00 90.00
Atoms (fractional coordinates):
Ca1 0.000 0.000 0.000
Ca2 0.500 0.000 0.000
Nd1 0.000 0.500 0.000
Nd2 0.250 0.000 0.499
Nd3 0.250 0.500 0.499
Nd4 0.500 0.500 0.000
Nd5 0.750 0.000 0.501
Nd6 0.750 0.500 0.501
Zn1 0.000 0.250 0.500
Zn2 0.000 0.750 0.500
Zn3 0.250 0.250 0.999
Zn4 0.250 0.750 0.999
Zn5 0.500 0.250 0.500
Zn6 0.500 0.750 0.500
Zn7 0.750 0.250 0.001
Zn8 0.750 0.750 0.001

Summary:
Space group   No. 51
Energy of formation   -295.9 meV/atom
Total magnetic moment   0.00 μB per cell
DOS(E_F)   0.886 states/eV/atom


[8]
VASP calculation (GGA-PBE) on a relaxed structure of CaNd5Zn4.

Lattice parameters (Å, degrees): 3.722 3.722 19.990 90.00 90.00 90.00
Atoms (fractional coordinates):
Ca1 0.000 0.000 0.000
Nd1 0.500 0.500 0.140
Nd2 0.500 0.500 0.318
Nd3 0.500 0.500 0.500
Nd4 0.500 0.500 0.682
Nd5 0.500 0.500 0.860
Zn1 0.000 0.000 0.226
Zn2 0.000 0.000 0.408
Zn3 0.000 0.000 0.592
Zn4 0.000 0.000 0.774

Summary:
Space group   No. 123
Energy of formation   -228.7 meV/atom
Total magnetic moment   0.00 μB per cell
DOS(E_F)   1.382 states/eV/atom


[9]
VASP calculation (GGA-PBE) on a relaxed structure of Ca2NdZn6.

Lattice parameters (Å, degrees): 7.827 7.827 3.732 90.00 90.00 120.00
Atoms (fractional coordinates):
Ca1 0.333 0.667 0.000
Ca2 0.667 0.333 0.000
Nd1 0.000 0.000 0.000
Zn1 0.000 0.335 0.500
Zn2 0.000 0.665 0.500
Zn3 0.335 0.000 0.500
Zn4 0.335 0.335 0.500
Zn5 0.665 0.000 0.500
Zn6 0.665 0.665 0.500

Summary:
Space group   No. 191
Energy of formation   -297.3 meV/atom
Total magnetic moment   0.00 μB per cell
DOS(E_F)   0.684 states/eV/atom


[10]
VASP calculation (GGA-PBE) on a relaxed structure of CaNd4Zn5.

Lattice parameters (Å, degrees): 3.685 3.685 18.462 90.00 90.00 90.00
Atoms (fractional coordinates):
Ca1 0.000 0.000 0.000
Nd1 0.000 0.000 0.201
Nd2 0.000 0.000 0.399
Nd3 0.000 0.000 0.601
Nd4 0.000 0.000 0.799
Zn1 0.500 0.500 0.103
Zn2 0.500 0.500 0.301
Zn3 0.500 0.500 0.500
Zn4 0.500 0.500 0.699
Zn5 0.500 0.500 0.897

Summary:
Space group   No. 123
Energy of formation   -297.2 meV/atom
Total magnetic moment   0.00 μB per cell
DOS(E_F)   0.983 states/eV/atom